#1
A plane-wave DFT calculation with PBEsol was carried out for a geometry-optimized ZnPb2Br structure.

extended XYZ file:
```
4
Lattice="-4.064 -2.549 0.712 1.490 -1.126 4.476 -0.696 5.437 -1.028" Properties=species:S:1:pos:R:3 pbc="T T T"
Pb -3.024 0.525 1.139
Pb -0.246 1.237 3.021
Zn -1.287 -1.837 2.594
Br 0.000 0.000 0.000
```

#2
A plane-wave DFT calculation with PBEsol was carried out for a geometry-optimized ZnPb2Br structure.

extended XYZ file:
```
4
Lattice="-3.067 1.269 0.810 0.659 -1.683 5.133 2.305 4.765 1.262" Properties=species:S:1:pos:R:3 pbc="T T T"
Pb 1.153 2.382 0.631
Pb 0.329 -0.841 2.566
Zn -1.533 0.635 0.405
Br -0.051 2.175 3.602
```

#2 takes first place; second place is 0.072 eV/atom up.

#1
A plane-wave DFT calculation with PBEsol was carried out for a geometry-optimized ZnPb2Br structure.

extended XYZ file:
```
4
Lattice="3.490 0.000 -0.428 0.000 4.775 0.000 -1.024 0.000 6.393" Properties=species:S:1:pos:R:3 pbc="T T T"
Pb 1.535 0.000 4.648
Pb 0.931 0.000 1.317
Br -0.512 2.388 3.197
Zn 1.745 2.388 -0.214
```

#2
A plane-wave DFT calculation with PBEsol was carried out for a geometry-optimized ZnPb2Br structure.

extended XYZ file:
```
4
Lattice="3.509 0.000 0.000 0.000 5.084 0.000 0.000 0.000 5.918" Properties=species:S:1:pos:R:3 pbc="T T T"
Br 0.000 2.542 2.959
Pb 1.755 0.000 2.959
Pb 0.000 0.000 0.000
Zn 1.755 2.542 0.000
```

#2 takes first place; second place is 0.008 eV/atom up.

#1
A plane-wave DFT calculation with PBEsol was carried out for a geometry-optimized ZnPbBr2 structure.

extended XYZ file:
```
4
Lattice="3.790 0.000 0.000 0.000 4.910 0.021 0.000 -2.048 5.680" Properties=species:S:1:pos:R:3 pbc="T T T"
Br 0.000 2.415 5.018
Br 1.895 2.107 1.617
Zn 1.895 0.562 4.813
Pb 0.000 -0.384 2.797
```

#2
A plane-wave DFT calculation with PBEsol was carried out for a geometry-optimized ZnPbBr2 structure.

extended XYZ file:
```
4
Lattice="-4.750 -1.870 -1.373 1.223 -1.002 5.069 0.276 5.298 -0.236" Properties=species:S:1:pos:R:3 pbc="T T T"
Zn -2.375 -0.935 -0.686
Pb -1.626 1.213 1.730
Br 0.138 2.649 -0.118
Br 0.611 -0.501 2.535
```

#1 takes first place; second place is 0.238 eV/atom up.

#1
A plane-wave DFT calculation with PBEsol was carried out for a geometry-optimized ZrPdSeBr2 structure.

extended XYZ file:
```
5
Lattice="5.108 0.000 0.000 0.000 5.196 0.000 0.000 0.000 5.196" Properties=species:S:1:pos:R:3 pbc="T T T"
Se 2.554 0.000 0.000
Br 0.000 0.000 2.598
Br 0.000 2.598 0.000
Zr 0.000 0.000 0.000
Pd 2.554 2.598 2.598
```

#2
A plane-wave DFT calculation with PBEsol was carried out for a geometry-optimized ZrPdSeBr2 structure.

extended XYZ file:
```
5
Lattice="4.865 0.000 0.000 0.000 4.865 0.000 0.000 0.000 5.039" Properties=species:S:1:pos:R:3 pbc="T T T"
Br 0.000 2.432 0.000
Br 2.432 0.000 0.000
Pd 0.000 0.000 0.000
Zr 2.432 2.432 2.519
Se 0.000 0.000 2.519
```

#1 takes first place; second place is 0.348 eV/atom up.